CeSmDy4S8 | PBE | relaxed

Structure (CIF):
```
data_CeSmDy4S8
_space_group_name_H-M_alt 'P 1'
_space_group_IT_number 1
_space_group_name_Hall 'P 1'
_cell_length_a 8.159
_cell_length_b 8.159
_cell_length_c 8.159
_cell_angle_alpha 59.67
_cell_angle_beta 59.67
_cell_angle_gamma 59.67
loop_
_atom_site_label
_atom_site_fract_x
_atom_site_fract_y
_atom_site_fract_z
_atom_site_occupancy
Ce1 0.000 0.000 0.000 1
Sm1 0.374 0.374 0.374 1
Dy1 0.374 0.374 0.874 1
Dy2 0.374 0.874 0.374 1
Dy3 0.748 0.748 0.748 1
Dy4 0.874 0.374 0.374 1
S1 0.132 0.132 0.591 1
S2 0.132 0.591 0.132 1
S3 0.136 0.136 0.136 1
S4 0.143 0.621 0.621 1
S5 0.591 0.132 0.132 1
S6 0.616 0.616 0.616 1
S7 0.621 0.143 0.621 1
S8 0.621 0.621 0.143 1
```

**Space-group type**: R3m

Ce2Sm3DyS6 | PBE | relaxed

Structure (CIF):
```
data_Ce2Sm3DyS6
_space_group_name_H-M_alt 'P 1'
_space_group_IT_number 1
_space_group_name_Hall 'P 1'
_cell_length_a 6.925
_cell_length_b 6.925
_cell_length_c 6.927
_cell_angle_alpha 99.62
_cell_angle_beta 99.62
_cell_angle_gamma 120.07
loop_
_atom_site_label
_atom_site_fract_x
_atom_site_fract_y
_atom_site_fract_z
_atom_site_occupancy
Ce1 0.166 0.834 0.000 1
Ce2 0.834 0.166 0.000 1
Sm1 0.000 0.000 0.500 1
Sm2 0.333 0.667 0.500 1
Sm3 0.667 0.333 0.500 1
Dy1 0.500 0.500 0.000 1
S1 0.090 0.418 0.752 1
S2 0.255 0.255 0.249 1
S3 0.418 0.090 0.752 1
S4 0.582 0.910 0.248 1
S5 0.745 0.745 0.751 1
S6 0.910 0.582 0.248 1
```

**Space-group type**: C2/m

CeSm4Dy3S8 | PBE | relaxed

Structure (CIF):
```
data_CeSm4Dy3S8
_space_group_name_H-M_alt 'P 1'
_space_group_IT_number 1
_space_group_name_Hall 'P 1'
_cell_length_a 7.944
_cell_length_b 7.944
_cell_length_c 7.944
_cell_angle_alpha 59.97
_cell_angle_beta 59.97
_cell_angle_gamma 59.97
loop_
_atom_site_label
_atom_site_fract_x
_atom_site_fract_y
_atom_site_fract_z
_atom_site_occupancy
Ce1 0.000 0.000 0.000 1
Sm1 0.000 0.000 0.500 1
Sm2 0.000 0.500 0.000 1
Sm3 0.500 0.000 0.000 1
Sm4 0.500 0.500 0.500 1
Dy1 0.000 0.500 0.500 1
Dy2 0.500 0.000 0.500 1
Dy3 0.500 0.500 0.000 1
S1 0.250 0.250 0.744 1
S2 0.250 0.744 0.250 1
S3 0.253 0.253 0.253 1
S4 0.256 0.750 0.750 1
S5 0.744 0.250 0.250 1
S6 0.747 0.747 0.747 1
S7 0.750 0.256 0.750 1
S8 0.750 0.750 0.256 1
```

**Space-group type**: R-3m

CeSm3Dy4S8 | PBE | relaxed

Structure (CIF):
```
data_CeSm3Dy4S8
_space_group_name_H-M_alt 'P 1'
_space_group_IT_number 1
_space_group_name_Hall 'P 1'
_cell_length_a 7.939
_cell_length_b 7.939
_cell_length_c 7.939
_cell_angle_alpha 59.63
_cell_angle_beta 59.63
_cell_angle_gamma 59.63
loop_
_atom_site_label
_atom_site_fract_x
_atom_site_fract_y
_atom_site_fract_z
_atom_site_occupancy
Ce1 0.000 0.000 0.000 1
Sm1 0.000 0.500 0.500 1
Sm2 0.500 0.000 0.500 1
Sm3 0.500 0.500 0.000 1
Dy1 0.000 0.000 0.500 1
Dy2 0.000 0.500 0.000 1
Dy3 0.500 0.000 0.000 1
Dy4 0.500 0.500 0.500 1
S1 0.247 0.247 0.247 1
S2 0.247 0.747 0.747 1
S3 0.253 0.253 0.753 1
S4 0.253 0.753 0.253 1
S5 0.747 0.247 0.747 1
S6 0.747 0.747 0.247 1
S7 0.753 0.253 0.253 1
S8 0.753 0.753 0.753 1
```

**Space-group type**: R-3m

SrCe2DyS4 | PBE | relaxed

Structure (CIF):
```
data_SrCe2DyS4
_space_group_name_H-M_alt 'P 1'
_space_group_IT_number 1
_space_group_name_Hall 'P 1'
_cell_length_a 7.018
_cell_length_b 4.028
_cell_length_c 7.069
_cell_angle_alpha 90.00
_cell_angle_beta 109.07
_cell_angle_gamma 90.00
loop_
_atom_site_label
_atom_site_fract_x
_atom_site_fract_y
_atom_site_fract_z
_atom_site_occupancy
Sr1 0.000 0.000 0.000 1
Ce1 0.000 0.500 0.500 1
Ce2 0.500 0.000 0.500 1
Dy1 0.500 0.500 0.000 1
S1 0.261 0.500 0.251 1
S2 0.262 0.000 0.757 1
S3 0.738 0.000 0.243 1
S4 0.739 0.500 0.749 1
```

**Space-group type**: P2/m

SrCeDy2S4 | PBE | relaxed

Structure (CIF):
```
data_SrCeDy2S4
_space_group_name_H-M_alt 'P 1'
_space_group_IT_number 1
_space_group_name_Hall 'P 1'
_cell_length_a 6.978
_cell_length_b 3.990
_cell_length_c 6.979
_cell_angle_alpha 90.00
_cell_angle_beta 109.11
_cell_angle_gamma 90.00
loop_
_atom_site_label
_atom_site_fract_x
_atom_site_fract_y
_atom_site_fract_z
_atom_site_occupancy
Sr1 0.000 0.000 0.000 1
Ce1 0.500 0.500 0.000 1
Dy1 0.000 0.500 0.500 1
Dy2 0.500 0.000 0.500 1
S1 0.248 0.000 0.736 1
S2 0.259 0.500 0.267 1
S3 0.741 0.500 0.733 1
S4 0.752 0.000 0.264 1
```

**Space-group type**: P2/m

TbCeDy4S8 | PBE | relaxed

Structure (CIF):
```
data_TbCeDy4S8
_space_group_name_H-M_alt 'P 1'
_space_group_IT_number 1
_space_group_name_Hall 'P 1'
_cell_length_a 8.118
_cell_length_b 8.118
_cell_length_c 8.118
_cell_angle_alpha 59.93
_cell_angle_beta 59.93
_cell_angle_gamma 59.93
loop_
_atom_site_label
_atom_site_fract_x
_atom_site_fract_y
_atom_site_fract_z
_atom_site_occupancy
Tb1 0.000 0.000 0.000 1
Ce1 0.625 0.625 0.625 1
Dy1 0.000 0.000 0.500 1
Dy2 0.000 0.500 0.000 1
Dy3 0.375 0.375 0.375 1
Dy4 0.500 0.000 0.000 1
S1 0.215 0.761 0.761 1
S2 0.243 0.243 0.243 1
S3 0.244 0.244 0.771 1
S4 0.244 0.771 0.244 1
S5 0.761 0.215 0.761 1
S6 0.761 0.761 0.215 1
S7 0.762 0.762 0.762 1
S8 0.771 0.244 0.244 1
```

**Space-group type**: R3m

Tb3Ce4DyS8 | PBE | relaxed

Structure (CIF):
```
data_Tb3Ce4DyS8
_space_group_name_H-M_alt 'P 1'
_space_group_IT_number 1
_space_group_name_Hall 'P 1'
_cell_length_a 7.976
_cell_length_b 7.976
_cell_length_c 7.976
_cell_angle_alpha 59.52
_cell_angle_beta 59.52
_cell_angle_gamma 59.52
loop_
_atom_site_label
_atom_site_fract_x
_atom_site_fract_y
_atom_site_fract_z
_atom_site_occupancy
Tb1 0.000 0.500 0.500 1
Tb2 0.500 0.000 0.500 1
Tb3 0.500 0.500 0.000 1
Ce1 0.000 0.000 0.500 1
Ce2 0.000 0.500 0.000 1
Ce3 0.500 0.000 0.000 1
Ce4 0.500 0.500 0.500 1
Dy1 0.000 0.000 0.000 1
S1 0.246 0.246 0.748 1
S2 0.246 0.748 0.246 1
S3 0.252 0.754 0.754 1
S4 0.253 0.253 0.253 1
S5 0.747 0.747 0.747 1
S6 0.748 0.246 0.246 1
S7 0.754 0.252 0.754 1
S8 0.754 0.754 0.252 1
```

**Space-group type**: R-3m

Calculated E_tot (eV per cell), listed in the same order as above: -88.9 -79.8 -103.9 -103.8 -50.6 -49.4 -88.8 -107.8